A relaxed structure of CsVBr3. Source: the Alexandria database, functional PBE.

Unit cell a=9.4316 b=3.9269 c=16.7330 alpha=90.00 beta=90.00 gamma=90.00
Space group Pnma (No. 62)
One atom of each set of equivalent atoms:
Cs: 0.0558 0.2500 0.1657
V: 0.1024 0.7500 0.4585
Br: 0.0404 0.7500 0.6029
Br: 0.2136 0.7500 0.9962
Br: 0.2379 0.7500 0.3156

The magnetic moment is 1.0 μB per formula unit. The formation energy (no corrections) is -1.03 eV/atom.

***

A relaxed structure of Cs3V2Br9. Source: the Alexandria database, functional PBE.

Unit cell a=13.2598 b=13.2598 c=20.1041 alpha=90.00 beta=90.00 gamma=120.00
Space group R-3c (No. 167, hexagonal axes)
One atom of each set of equivalent atoms:
Cs: 0.0000 0.3418 0.2500
V: 0.0000 0.0000 0.1695
Br: 0.0000 0.1540 0.7500
Br: 0.0018 0.1602 0.3980

The magnetic moment is 4.0 μB per formula unit. The formation energy (no corrections) is -1.30 eV/atom.

***

A relaxed structure of Cs2V3Br9. Source: the Alexandria database, functional PBE.

Unit cell a=11.9202 b=18.6137 c=10.8502 alpha=90.00 beta=117.98 gamma=90.00
Space group C2/m (No. 12)
One atom of each set of equivalent atoms:
Cs: 0.0909 0.1594 0.2977
V: 0.1253 0.5000 0.8437
V: 0.1589 0.3973 0.1695
Br: 0.0000 0.3048 0.0000
Br: 0.0308 0.4031 0.3007
Br: 0.1927 0.1977 0.6701
Br: 0.1985 0.0000 0.6838
Br: 0.2326 0.0976 0.9868
Br: 0.2419 0.5000 0.7039

The magnetic moment is 8.0 μB per formula unit. The formation energy (no corrections) is -1.04 eV/atom.

***

A relaxed structure of CsVBr2. Source: the Alexandria database, functional PBE.

Unit cell a=4.2422 b=4.2422 c=29.2308 alpha=90.00 beta=90.00 gamma=120.00
Space group R-3m (No. 166, hexagonal axes)
One atom of each set of equivalent atoms:
Cs: 0.0000 0.0000 0.0000
V: 0.0000 0.0000 0.5000
Br: 0.0000 0.0000 0.1217

The magnetic moment is 3.5 μB per formula unit. The formation energy (no corrections) is -0.51 eV/atom.